(1)
Computed, not measured: crystalline Li2ThSi2 at its relaxed geometry at the GGA-PBE level of DFT.

It has space group I4/mmm (No. 139), with a = 4.1192 Å, b = 4.1192 Å, c = 11.0157 Å, α = 90.00°, β = 90.00° and γ = 90.00°. The distinct sites, in fractional coordinates, are Li at (0.0000, 0.5000, 0.2500), Th at (0.0000, 0.0000, 0.0000) and Si at (0.0000, 0.0000, 0.3927).

The volume comes out at 18.691 Å³ per atom. The value obtained for the density of states at the Fermi level is 3.85 states/eV/cell. The value obtained for the uncorrected formation energy is -0.462 eV per atom. The value obtained for the magnetic moment is 0.00 μB/f.u. As for the total energy: -48.81 eV/cell.

(2)
Computed, not measured: crystalline Na3TeH at its relaxed geometry at the GGA-PBE level of DFT.

It has space group Cmcm (No. 63), with a = 6.1861 Å, b = 15.5337 Å, c = 5.7866 Å, α = 90.00°, β = 90.00° and γ = 90.00°. The distinct sites, in fractional coordinates, are Na at (0.0000, 0.0000, 0.0000), Na at (0.2433, 0.3175, 0.2500), Te at (0.0000, 0.3574, 0.7500) and H at (0.0000, 0.0915, 0.7500).

The volume comes out at 27.803 Å³ per atom. The value obtained for the density of states at the Fermi level is 0.00 states/eV/cell. Its energy above the most stable polymorph in this dataset is 165 meV/atom. The value obtained for the magnetic moment is 0.00 μB/f.u. As for the total energy: -51.35 eV/cell.

(3)
Computed, not measured: crystalline AgAu2 at its relaxed geometry at the GGA-PBE level of DFT.

It has space group P-62m (No. 189), with a = 8.0673 Å, b = 8.0673 Å, c = 2.8848 Å, α = 90.00°, β = 90.00° and γ = 120.00°. The distinct sites, in fractional coordinates, are Ag at (0.0000, 0.0000, 0.0000), Ag at (0.3333, 0.6667, 0.5000), Au at (0.0000, 0.3080, 0.5000) and Au at (0.0000, 0.6409, 0.0000).

The volume comes out at 18.066 Å³ per atom. The value obtained for the density of states at the Fermi level is 1.68 states/eV/cell. For the formation energy, the calculation gives -0.004 eV/atom. Its energy above the most stable polymorph in this dataset is 37 meV/atom. The value obtained for the magnetic moment is 0.00 μB/f.u. As for the total energy: -28.26 eV/cell.

(4)
Computed, not measured: crystalline Nb2GeRh2 at its relaxed geometry at the GGA-PBE level of DFT.

It has space group P4/mbm (No. 127), with a = 7.5439 Å, b = 7.5439 Å, c = 2.9702 Å, α = 90.00°, β = 90.00° and γ = 90.00°. The distinct sites, in fractional coordinates, are Nb at (0.1672, 0.3328, 0.0000), Ge at (0.0000, 0.0000, 0.5000) and Rh at (0.1285, 0.6285, 0.5000).

The volume comes out at 16.904 Å³ per atom. The value obtained for the density of states at the Fermi level is 3.64 states/eV/cell. For the formation energy, the calculation gives -0.261 eV/atom. The value obtained for the magnetic moment is 0.00 μB/f.u. As for the total energy: -81.53 eV/cell.

(5)
Computed, not measured: crystalline BaSiRu2 at its relaxed geometry at the GGA-PBE level of DFT.

It has space group P4/mmm (No. 123), with a = 3.1108 Å, b = 3.1108 Å, c = 7.6994 Å, α = 90.00°, β = 90.00° and γ = 90.00°. The distinct sites, in fractional coordinates, are Ba at (0.0000, 0.0000, 0.0000), Si at (0.0000, 0.0000, 0.5000) and Ru at (0.5000, 0.5000, 0.3319).

The volume comes out at 18.626 Å³ per atom. The value obtained for the density of states at the Fermi level is 5.80 states/eV/cell. The value obtained for the uncorrected formation energy is 0.201 eV per atom. The value obtained for the magnetic moment is 0.67 μB/f.u. As for the total energy: -25.09 eV/cell.

(6)
Computed, not measured: crystalline LiFeCu2 at its relaxed geometry at the GGA-PBE level of DFT.

It has space group P2/m (No. 10), with a = 2.4716 Å, b = 3.7544 Å, c = 5.2660 Å, α = 90.00°, β = 90.33° and γ = 90.00°. The distinct sites, in fractional coordinates, are Li at (0.0000, 0.0000, 0.0000), Fe at (0.0000, 0.0000, 0.5000) and Cu at (0.4993, 0.5000, 0.7426).

The volume comes out at 12.216 Å³ per atom. The value obtained for the density of states at the Fermi level is 2.15 states/eV/cell. For the formation energy, the calculation gives 0.105 eV/atom. The value obtained for the magnetic moment is 2.59 μB/f.u. As for the total energy: -18.15 eV/cell.

(7)
Computed, not measured: crystalline Pr6SmSc3 at its relaxed geometry at the GGA-PBE level of DFT.

It has space group R3 (No. 146, hexagonal axes), with a = 9.8528 Å, b = 9.8528 Å, c = 11.7259 Å, α = 90.00°, β = 90.00° and γ = 120.00°. The distinct sites, in fractional coordinates, are Pr at (0.9999, 0.3372, 0.0000), Pr at (0.9999, 0.6676, 0.4999), Sm at (0.0000, 0.0000, 0.9995), Sc at (0.0000, 0.0000, 0.2584), Sc at (0.0000, 0.0000, 0.4996) and Sc at (0.0000, 0.0000, 0.7408).

The volume comes out at 32.861 Å³ per atom. The value obtained for the density of states at the Fermi level is 54.44 states/eV/cell. For the formation energy, the calculation gives 0.169 eV/atom. The value obtained for the magnetic moment is 0.01 μB/f.u. As for the total energy: -152.10 eV/cell.

(8)
Computed, not measured: crystalline NaPm5Zn4 at its relaxed geometry at the GGA-PBE level of DFT.

It has space group P4/mmm (No. 123), with a = 3.6668 Å, b = 3.6668 Å, c = 19.8535 Å, α = 90.00°, β = 90.00° and γ = 90.00°. The distinct sites, in fractional coordinates, are Na at (0.0000, 0.0000, 0.0000), Pm at (0.5000, 0.5000, 0.1373), Pm at (0.5000, 0.5000, 0.3164), Pm at (0.5000, 0.5000, 0.5000), Zn at (0.0000, 0.0000, 0.2230) and Zn at (0.0000, 0.0000, 0.4072).

The volume comes out at 26.694 Å³ per atom. The value obtained for the density of states at the Fermi level is 13.17 states/eV/cell. For the formation energy, the calculation gives -0.206 eV/atom. The value obtained for the magnetic moment is 0.00 μB/f.u. As for the total energy: -32.23 eV/cell.

(9)
Computed, not measured: crystalline CsInO2 at its relaxed geometry at the GGA-PBE level of DFT.

It has space group P4/nmm (No. 129, origin choice 2), with a = 4.0951 Å, b = 4.0951 Å, c = 10.2110 Å, α = 90.00°, β = 90.00° and γ = 90.00°. The distinct sites, in fractional coordinates, are Cs at (0.2500, 0.2500, 0.1388), In at (0.2500, 0.2500, 0.5912), O at (0.2500, 0.2500, 0.7873) and O at (0.2500, 0.7500, 0.5000).

The volume comes out at 21.405 Å³ per atom. The value obtained for the density of states at the Fermi level is 0.00 states/eV/cell. The value obtained for the uncorrected formation energy is -1.420 eV per atom. The value obtained for the magnetic moment is 0.00 μB/f.u. As for the total energy: -38.38 eV/cell.

(10)
Computed, not measured: crystalline Ac2PaS5 at its relaxed geometry at the GGA-PBE level of DFT.

It has space group Pnma (No. 62), with a = 12.3287 Å, b = 8.4617 Å, c = 7.7299 Å, α = 90.00°, β = 90.00° and γ = 90.00°. The distinct sites, in fractional coordinates, are Ac at (0.1743, 0.0021, 0.0366), Pa at (0.0061, 0.2500, 0.5625), S at (0.0026, 0.2500, 0.9427), S at (0.0886, 0.5357, 0.6635), S at (0.1871, 0.2500, 0.3422) and S at (0.2098, 0.7500, 0.3191).

The volume comes out at 25.200 Å³ per atom. The value obtained for the density of states at the Fermi level is 22.03 states/eV/cell. The value obtained for the uncorrected formation energy is -2.023 eV per atom. Its energy above the most stable polymorph in this dataset is 0 meV/atom. The value obtained for the magnetic moment is 0.95 μB/f.u. As for the total energy: -218.13 eV/cell.

(11)
Computed, not measured: crystalline CaAlHg2 at its relaxed geometry at the GGA-PBE level of DFT.

It has space group F-43m (No. 216), with a = 7.2172 Å, b = 7.2172 Å, c = 7.2172 Å, α = 90.00°, β = 90.00° and γ = 90.00°. The distinct sites, in fractional coordinates, are Ca at (0.0000, 0.0000, 0.0000), Al at (0.2500, 0.2500, 0.7500), Hg at (0.0000, 0.0000, 0.5000) and Hg at (0.2500, 0.2500, 0.2500).

The volume comes out at 23.496 Å³ per atom. The value obtained for the density of states at the Fermi level is 9.64 states/eV/cell. For the formation energy, the calculation gives -0.148 eV/atom. The value obtained for the magnetic moment is 0.00 μB/f.u. As for the total energy: -27.76 eV/cell.

(12)
Computed, not measured: crystalline AgSn2Se2 at its relaxed geometry at the GGA-PBE level of DFT.

It has space group I4/mmm (No. 139), with a = 5.6253 Å, b = 5.6253 Å, c = 8.5785 Å, α = 90.00°, β = 90.00° and γ = 90.00°. The distinct sites, in fractional coordinates, are Ag at (0.0000, 0.0000, 0.0000), Sn at (0.0000, 0.0000, 0.3268) and Se at (0.0000, 0.5000, 0.2500).

The volume comes out at 27.146 Å³ per atom. The value obtained for the density of states at the Fermi level is 5.57 states/eV/cell. The value obtained for the uncorrected formation energy is -0.039 eV per atom. Its energy above the most stable polymorph in this dataset is 44 meV/atom. The value obtained for the magnetic moment is 0.00 μB/f.u. As for the total energy: -36.04 eV/cell.

(13)
Computed, not measured: crystalline ScCr2Si2 at its relaxed geometry at the GGA-PBE level of DFT.

It has space group P4/mbm (No. 127), with a = 6.8108 Å, b = 6.8108 Å, c = 3.0034 Å, α = 90.00°, β = 90.00° and γ = 90.00°. The distinct sites, in fractional coordinates, are Sc at (0.0000, 0.0000, 0.0000), Cr at (0.1597, 0.3403, 0.5000) and Si at (0.1299, 0.6299, 0.0000).

The volume comes out at 13.932 Å³ per atom. The value obtained for the density of states at the Fermi level is 5.69 states/eV/cell. The value obtained for the uncorrected formation energy is -0.306 eV per atom. The value obtained for the magnetic moment is 1.55 μB/f.u. As for the total energy: -75.91 eV/cell.

(14)
Computed, not measured: crystalline TlCuS3 at its relaxed geometry at the GGA-PBE level of DFT.

It has space group P-1 (No. 2), with a = 5.1479 Å, b = 7.7453 Å, c = 8.0578 Å, α = 70.57°, β = 86.10° and γ = 71.39°. The distinct sites, in fractional coordinates, are Tl at (0.2001, 0.1603, 0.3006), Cu at (0.4456, 0.5797, 0.3464), S at (0.2136, 0.9725, 0.9758), S at (0.3634, 0.6815, 0.0628) and S at (0.3643, 0.7417, 0.5359).

The volume comes out at 28.688 Å³ per atom. The value obtained for the density of states at the Fermi level is 2.62 states/eV/cell. The value obtained for the uncorrected formation energy is -0.117 eV per atom. Its energy above the most stable polymorph in this dataset is 0 meV/atom. The value obtained for the magnetic moment is 0.00 μB/f.u. As for the total energy: -38.86 eV/cell.

(15)
Computed, not measured: crystalline In3HOs at its relaxed geometry at the GGA-PBE level of DFT.

It has space group Pm-3m (No. 221), with a = 4.3767 Å, b = 4.3767 Å, c = 4.3767 Å, α = 90.00°, β = 90.00° and γ = 90.00°. The distinct sites, in fractional coordinates, are In at (0.0000, 0.0000, 0.5000), H at (0.0000, 0.0000, 0.0000) and Os at (0.5000, 0.5000, 0.5000).

The volume comes out at 16.768 Å³ per atom. The value obtained for the density of states at the Fermi level is 2.06 states/eV/cell. The value obtained for the magnetic moment is 0.00 μB/f.u. As for the total energy: -19.37 eV/cell.

(16)
Computed, not measured: crystalline La2CuSe at its relaxed geometry at the GGA-PBE level of DFT.

It has space group I-42d (No. 122), with a = 7.7324 Å, b = 7.7324 Å, c = 7.9301 Å, α = 90.00°, β = 90.00° and γ = 90.00°. The distinct sites, in fractional coordinates, are La at (0.2354, 0.7500, 0.1250), Cu at (0.0000, 0.0000, 0.0000) and Se at (0.0000, 0.0000, 0.5000).

The volume comes out at 29.634 Å³ per atom. The value obtained for the density of states at the Fermi level is 11.72 states/eV/cell. The value obtained for the uncorrected formation energy is -0.708 eV per atom. The value obtained for the magnetic moment is 0.00 μB/f.u. As for the total energy: -81.08 eV/cell.

(17)
Computed, not measured: crystalline RbSr2MnI8 at its relaxed geometry at the GGA-PBE level of DFT.

It has space group P2/m (No. 10), with a = 7.2379 Å, b = 9.8537 Å, c = 7.9597 Å, α = 90.00°, β = 93.43° and γ = 90.00°. The distinct sites, in fractional coordinates, are Rb at (0.0000, 0.0000, 0.0000), Sr at (0.5000, 0.2656, 0.5000), Mn at (0.0000, 0.5000, 0.0000), I at (0.2261, 0.3087, 0.1367), I at (0.2430, 0.5000, 0.6638) and I at (0.3749, 0.0000, 0.7207).

The volume comes out at 47.222 Å³ per atom. The value obtained for the uncorrected formation energy is -1.136 eV per atom. The value obtained for the magnetic moment is 4.01 μB/f.u. As for the total energy: -39.54 eV/cell.

(18)
Computed, not measured: crystalline H3IrSe at its relaxed geometry at the GGA-PBE level of DFT.

It has space group Pm-3m (No. 221), with a = 3.6082 Å, b = 3.6082 Å, c = 3.6082 Å, α = 90.00°, β = 90.00° and γ = 90.00°. The distinct sites, in fractional coordinates, are H at (0.0000, 0.0000, 0.5000), Ir at (0.0000, 0.0000, 0.0000) and Se at (0.5000, 0.5000, 0.5000).

The volume comes out at 9.395 Å³ per atom. The value obtained for the density of states at the Fermi level is 2.67 states/eV/cell. Its energy above the most stable polymorph in this dataset is 0 meV/atom. The value obtained for the magnetic moment is 0.00 μB/f.u. As for the total energy: -19.18 eV/cell.

(19)
Computed, not measured: crystalline BiTeI2N at its relaxed geometry at the GGA-PBE level of DFT.

It has space group P4/mmm (No. 123), with a = 6.3492 Å, b = 6.3492 Å, c = 3.9692 Å, α = 90.00°, β = 90.00° and γ = 90.00°. The distinct sites, in fractional coordinates, are Bi at (0.0000, 0.0000, 0.0000), Te at (0.5000, 0.5000, 0.5000), I at (0.0000, 0.5000, 0.5000) and N at (0.5000, 0.5000, 0.0000).

The volume comes out at 32.002 Å³ per atom. The value obtained for the density of states at the Fermi level is 4.56 states/eV/cell. The value obtained for the uncorrected formation energy is 0.743 eV per atom. Its energy above the most stable polymorph in this dataset is 0 meV/atom. The value obtained for the magnetic moment is 0.00 μB/f.u. As for the total energy: -14.73 eV/cell.

(20)
Computed, not measured: crystalline Tl3Cd3In4 at its relaxed geometry at the GGA-PBE level of DFT.

It has space group Amm2 (No. 38), with a = 3.4397 Å, b = 12.7713 Å, c = 12.7756 Å, α = 90.00°, β = 90.00° and γ = 90.00°. The distinct sites, in fractional coordinates, are Tl at (0.0000, 0.0000, 0.0000), Tl at (0.5000, 0.2436, 0.0870), Cd at (0.0000, 0.0000, 0.6837), Cd at (0.0000, 0.1602, 0.3542), In at (0.5000, 0.0000, 0.2195), In at (0.5000, 0.0000, 0.4865) and In at (0.5000, 0.1436, 0.8278).

The volume comes out at 28.061 Å³ per atom. The value obtained for the density of states at the Fermi level is 8.43 states/eV/cell. For the formation energy, the calculation gives 0.051 eV/atom. The value obtained for the magnetic moment is 0.00 μB/f.u. As for the total energy: -40.58 eV/cell.